# 1
Here is PmLu3 after structural relaxation from Alexandria via LeMat-Bulk. Energies are from PBE.

Structure (POSCAR):
```
PmLu3
1.0
-2.493 2.493 4.911
2.493 -2.493 4.911
2.493 2.493 -4.911
Pm Lu
1 3
direct
0.000 0.000 0.000
0.250 0.750 0.500
0.500 0.500 0.000
0.750 0.250 0.500
```

Results
Energy above the most stable polymorph in this dataset = 28.6 meV/atom
Size of the total moment = 0.00 μB per atom
DFT total energy = -18.17 eV/cell

# 2
Here is PmLu3 after structural relaxation from Alexandria via LeMat-Bulk. Energies are from PBE.

Structure (POSCAR):
```
PmLu3
1.0
3.577 0.000 0.000
0.000 5.567 0.000
0.000 0.000 6.188
Pm Lu
1 3
direct
0.000 0.000 0.000
0.000 0.500 0.663
0.500 0.000 0.497
0.500 0.500 0.167
```

Results
Energy above the most stable polymorph in this dataset = 7.5 meV/atom
Size of the total moment = 0.00 μB per atom
DFT total energy = -18.26 eV/cell

# 3
Here is PmPr2Lu after structural relaxation from Alexandria via LeMat-Bulk. Energies are from PBE.

Structure (POSCAR):
```
PmPr2Lu
1.0
0.000 4.088 4.088
4.088 0.000 4.088
4.088 4.088 0.000
Pm Pr Lu
1 2 1
direct
0.000 0.000 0.000
0.250 0.250 0.250
0.750 0.750 0.750
0.500 0.500 0.500
```

Results
Energy above the most stable polymorph in this dataset = 100.9 meV/atom
Size of the total moment = 0.00 μB per atom
DFT total energy = -18.37 eV/cell

# 4
Here is PmPr2Lu after structural relaxation from Alexandria via LeMat-Bulk. Energies are from PBE.

Structure (POSCAR):
```
PmPr2Lu
1.0
5.148 0.000 0.000
0.000 5.148 0.000
0.000 0.000 5.107
Pm Pr Lu
1 2 1
direct
0.000 0.000 0.000
0.000 0.500 0.500
0.500 0.000 0.500
0.500 0.500 0.000
```

Results
Energy above the most stable polymorph in this dataset = 0.0 meV/atom
Size of the total moment = 0.00 μB per atom
DFT total energy = -18.77 eV/cell

# 5
Here is Pm2PrLu after structural relaxation from Alexandria via LeMat-Bulk. Energies are from PBE.

Structure (POSCAR):
```
Pm2PrLu
1.0
1.811 1.045 11.773
-1.811 1.045 11.773
0.000 -2.091 11.773
Pm Pr Lu
2 1 1
direct
0.247 0.247 0.247
0.753 0.753 0.753
0.000 0.000 0.000
0.500 0.500 0.500
```

Results
Energy above the most stable polymorph in this dataset = 8.9 meV/atom
Size of the total moment = 0.00 μB per atom
DFT total energy = -18.70 eV/cell

# 6
Here is Pm2PrLu after structural relaxation from Alexandria via LeMat-Bulk. Energies are from PBE.

Structure (POSCAR):
```
Pm2PrLu
1.0
5.101 0.000 0.000
0.000 5.101 0.000
0.000 0.000 5.135
Pm Pr Lu
2 1 1
direct
0.000 0.500 0.000
0.500 0.000 0.000
0.000 0.000 0.500
0.500 0.500 0.500
```

Results
Energy above the most stable polymorph in this dataset = 0.0 meV/atom
Size of the total moment = 0.00 μB per atom
DFT total energy = -18.74 eV/cell

# 7
Here is PmPr2Lu after structural relaxation from Alexandria via LeMat-Bulk. Energies are from PBE.

Structure (POSCAR):
```
PmPr2Lu
1.0
3.645 0.000 0.000
0.000 3.645 0.000
0.000 0.000 10.215
Pm Pr Lu
1 2 1
direct
0.000 0.000 0.000
0.500 0.500 0.256
0.500 0.500 0.744
0.000 0.000 0.500
```

Results
Energy above the most stable polymorph in this dataset = 9.2 meV/atom
Size of the total moment = 0.00 μB per atom
DFT total energy = -18.74 eV/cell

# 8
Here is Pm2PrLu after structural relaxation from Alexandria via LeMat-Bulk. Energies are from PBE.

Structure (POSCAR):
```
Pm2PrLu
1.0
0.000 4.075 4.075
4.075 0.000 4.075
4.075 4.075 0.000
Pm Pr Lu
2 1 1
direct
0.250 0.250 0.250
0.750 0.750 0.750
0.000 0.000 0.000
0.500 0.500 0.500
```

Results
Energy above the most stable polymorph in this dataset = 125.5 meV/atom
Size of the total moment = 0.00 μB per atom
DFT total energy = -18.24 eV/cell

# 9
Here is PmPrLu2 after structural relaxation from Alexandria via LeMat-Bulk. Energies are from PBE.

Structure (POSCAR):
```
PmPrLu2
1.0
3.616 0.000 0.000
0.000 3.616 0.000
0.000 0.000 9.830
Pm Pr Lu
1 1 2
direct
0.000 0.000 0.000
0.000 0.000 0.500
0.500 0.500 0.248
0.500 0.500 0.752
```

Results
Energy above the most stable polymorph in this dataset = 0.6 meV/atom
Size of the total moment = 0.00 μB per atom
DFT total energy = -18.46 eV/cell

# 10
Here is PmPr2Lu after structural relaxation from Alexandria via LeMat-Bulk. Energies are from PBE.

Structure (POSCAR):
```
PmPr2Lu
1.0
1.822 1.052 11.763
-1.822 1.052 11.763
0.000 -2.104 11.763
Pm Pr Lu
1 2 1
direct
0.000 0.000 0.000
0.248 0.248 0.248
0.752 0.752 0.752
0.500 0.500 0.500
```

Results
Energy above the most stable polymorph in this dataset = 6.1 meV/atom
Size of the total moment = 0.00 μB per atom
DFT total energy = -18.75 eV/cell

# 11
Here is PmPrLu2 after structural relaxation from Alexandria via LeMat-Bulk. Energies are from PBE.

Structure (POSCAR):
```
PmPrLu2
1.0
5.104 0.000 0.000
0.000 5.104 0.000
0.000 0.000 4.931
Pm Pr Lu
1 1 2
direct
0.000 0.000 0.000
0.500 0.500 0.000
0.000 0.500 0.500
0.500 0.000 0.500
```

Results
Energy above the most stable polymorph in this dataset = 0.0 meV/atom
Size of the total moment = 0.00 μB per atom
DFT total energy = -18.47 eV/cell

# 12
Here is PmPr2Lu after structural relaxation from Alexandria via LeMat-Bulk. Energies are from PBE.

Structure (POSCAR):
```
PmPr2Lu
1.0
4.214 0.000 0.000
0.000 4.214 0.000
0.000 0.000 7.675
Pm Pr Lu
1 2 1
direct
0.000 0.000 0.000
0.500 0.500 0.262
0.500 0.500 0.738
0.000 0.000 0.500
```

Results
Energy above the most stable polymorph in this dataset = 80.8 meV/atom
Size of the total moment = 0.00 μB per atom
DFT total energy = -18.45 eV/cell

| no. | calculated volume (Å³ per cell) |
| --- | --- |
| 1 | 122.0 |
| 2 | 123.2 |
| 3 | 136.7 |
| 4 | 135.4 |
| 5 | 133.7 |
| 6 | 133.6 |
| 7 | 135.8 |
| 8 | 135.3 |
| 9 | 128.6 |
| 10 | 135.2 |
| 11 | 128.5 |
| 12 | 136.3 |